IrSI2 | PBE | optimized geometry

Cell and atoms, written as POSCAR:
```
IrSI2
1.0
-1.459 4.510 -5.467
-6.904 0.356 2.136
-3.232 5.783 0.845
S Ir I
2 2 4
Direct
0.250 0.750 0.500 S
0.500 0.500 0.000 S
0.750 0.250 0.500 Ir
0.000 0.000 0.000 Ir
0.668 0.125 0.250 I
0.875 0.918 0.750 I
0.082 0.625 0.250 I
0.375 0.332 0.750 I
```

Raw total energy   -3.26 eV/atom
Symmetry   I-42d, No. 122
ΔE_f (raw)   17.59 kcal/mol of atoms